(1)
A plane-wave DFT calculation with PBE-GGA was carried out for a geometry-optimized Na8Pb3 structure.

Lattice parameters (Å, degrees): 7.445 7.445 7.445 81.92 81.92 81.92
Sites, in units of the cell vectors:
Na1 0.104 0.104 0.104
Na2 0.253 0.660 0.256
Na3 0.256 0.253 0.660
Na4 0.340 0.744 0.747
Na5 0.660 0.256 0.253
Na6 0.744 0.747 0.340
Na7 0.747 0.340 0.744
Na8 0.896 0.896 0.896
Pb1 0.000 0.000 0.500
Pb2 0.000 0.500 0.000
Pb3 0.500 0.000 0.000

Output
Formation enthalpy at 0 K ... 0.07 eV per atom
Symmetry ... R-3, No. 148
Magnetic moment ... 0.0 μB/f.u.
Fermi-level density of states ... 8.82 states/eV/cell

(2)
A plane-wave DFT calculation with PBE-GGA was carried out for a geometry-optimized RbNi2H structure.

Lattice parameters (Å, degrees): 6.340 6.340 6.340 90.00 90.00 90.00
Sites, in units of the cell vectors:
Rb1 0.000 0.000 0.000
Rb2 0.000 0.500 0.500
Rb3 0.500 0.000 0.500
Rb4 0.500 0.500 0.000
Ni1 0.250 0.250 0.250
Ni2 0.250 0.250 0.750
Ni3 0.250 0.750 0.250
Ni4 0.250 0.750 0.750
Ni5 0.750 0.250 0.250
Ni6 0.750 0.250 0.750
Ni7 0.750 0.750 0.250
Ni8 0.750 0.750 0.750
H1 0.000 0.000 0.500
H2 0.000 0.500 0.000
H3 0.500 0.000 0.000
H4 0.500 0.500 0.500

Output
Symmetry ... Fm-3m, No. 225
Magnetic moment ... 0.1 μB/f.u.
Raw total energy ... -2.356 eV per atom
Fermi-level density of states ... 18.18 states/eV/cell

(3)
A plane-wave DFT calculation with PBE-GGA was carried out for a geometry-optimized Na2MgSN structure.

Lattice parameters (Å, degrees): 4.633 4.633 4.093 90.00 90.00 90.00
Sites, in units of the cell vectors:
Na1 0.000 0.500 0.000
Na2 0.500 0.000 0.000
Mg1 0.000 0.000 0.500
S1 0.500 0.500 0.500
N1 0.000 0.000 0.000

Output
Symmetry ... P4/mmm, No. 123
E_form (uncorrected) ... -0.33 eV/atom
Magnetic moment ... 1.0 μB/f.u.
Fermi-level density of states ... 3.96 states/eV/cell

(4)
A plane-wave DFT calculation with PBE-GGA was carried out for a geometry-optimized Sc2CdOsO8 structure.

Lattice parameters (Å, degrees): 4.785 4.785 6.665 90.00 90.00 91.16
Sites, in units of the cell vectors:
Sc1 0.000 0.000 0.239
Sc2 0.000 0.000 0.761
Cd1 0.500 0.500 0.000
Os1 0.500 0.500 0.500
O1 0.187 0.187 0.000
O2 0.216 0.216 0.500
O3 0.307 0.693 0.301
O4 0.307 0.693 0.699
O5 0.693 0.307 0.301
O6 0.693 0.307 0.699
O7 0.784 0.784 0.500
O8 0.813 0.813 0.000

Output
Symmetry ... Cmmm, No. 65
E_form (uncorrected) ... -1.95 eV/atom
Magnetic moment ... 0.0 μB/f.u.

(5)
A plane-wave DFT calculation with PBE-GGA was carried out for a geometry-optimized CdOsSF2 structure.

Lattice parameters (Å, degrees): 3.919 3.919 5.988 90.00 90.00 90.00
Sites, in units of the cell vectors:
Cd1 0.000 0.000 0.000
Os1 0.000 0.000 0.500
S1 0.500 0.500 0.000
F1 0.000 0.500 0.500
F2 0.500 0.000 0.500

Output
Symmetry ... P4/mmm, No. 123
E_form (uncorrected) ... -0.31 eV/atom
Magnetic moment ... 1.9 μB/f.u.
Fermi-level density of states ... 3.62 states/eV/cell

(6)
A plane-wave DFT calculation with PBE-GGA was carried out for a geometry-optimized Tb5Ga2Bi2 structure.

Lattice parameters (Å, degrees): 8.797 8.797 8.044 90.00 90.00 54.38
Sites, in units of the cell vectors:
Tb1 0.000 0.000 0.000
Tb2 0.043 0.703 0.669
Tb3 0.203 0.543 0.169
Tb4 0.297 0.957 0.669
Tb5 0.457 0.797 0.169
Tb6 0.500 0.500 0.500
Tb7 0.543 0.203 0.831
Tb8 0.703 0.043 0.331
Tb9 0.797 0.457 0.831
Tb10 0.957 0.297 0.331
Ga1 0.125 0.875 0.376
Ga2 0.375 0.625 0.876
Ga3 0.625 0.375 0.124
Ga4 0.875 0.125 0.624
Bi1 0.208 0.208 0.000
Bi2 0.292 0.292 0.500
Bi3 0.708 0.708 0.500
Bi4 0.792 0.792 0.000

Output
Formation enthalpy at 0 K ... -0.71 eV per atom
Symmetry ... Cmce, No. 64
Magnetic moment ... 0.0 μB/f.u.
Fermi-level density of states ... 12.37 states/eV/cell